# Al8Ni | the Alexandria database | GGA-PBEsol | optimized geometry
data_Al8Ni
_symmetry_space_group_name_H-M 'I 4/m m m'
_symmetry_Int_Tables_number 139
_symmetry_space_group_name_Hall '-I 4 2'
_cell_length_a 8.353
_cell_length_b 8.353
_cell_length_c 3.902
_cell_angle_alpha 90.00
_cell_angle_beta 90.00
_cell_angle_gamma 90.00
loop_
_atom_site_label
_atom_site_fract_x
_atom_site_fract_y
_atom_site_fract_z
_atom_site_occupancy
Al1 0.000 0.326 0.000 1
Al2 0.159 0.159 0.500 1
Ni1 0.000 0.000 0.000 1
# **Mass density**: 3.35 g/cm³
# **Energy of formation**: -0.88 eV per formula unit
# **Magnetic moment**: 0.0 μB per cell
# **Total DFT energy (no corrections)**: -4.419 eV/atom